The following is a meta-GGA SCAN calculation of CeB4Rh4 at its PBEsol-relaxed geometry, from the Alexandria database.

The structure in CIF format:
```
data_CeB4Rh4
_cell_length_a 5.2989
_cell_length_b 5.2989
_cell_length_c 7.4116
_cell_angle_alpha 90.00
_cell_angle_beta 90.00
_cell_angle_gamma 90.00
_space_group_name_H-M_alt 'P 1'
_space_group_IT_number 1
loop_
_space_group_symop_operation_xyz
'x,y,z'
loop_
_atom_site_label
_atom_site_fract_x
_atom_site_fract_y
_atom_site_fract_z
Rh1 0.5000 0.2493 0.1450
Ce1 0.5000 0.5000 0.5000
B1 0.5000 0.1690 0.8495
Rh2 0.0000 0.2507 0.3550
B2 0.6690 0.0000 0.3495
Rh3 0.0000 0.7493 0.3550
Rh4 0.2493 0.5000 0.8550
B3 0.0000 0.3310 0.6505
B4 0.8310 0.5000 0.1505
Rh5 0.5000 0.7507 0.1450
Rh6 0.7493 0.0000 0.6450
Rh7 0.7507 0.5000 0.8550
B5 0.1690 0.5000 0.1505
Ce2 0.0000 0.0000 0.0000
B6 0.3310 0.0000 0.3495
B7 0.0000 0.6690 0.6505
B8 0.5000 0.8310 0.8495
Rh8 0.2507 0.0000 0.6450
```

Calculated formation energy ... -640.6 meV/atom

The following is a meta-GGA SCAN calculation of ZrTe2Pt at its PBEsol-relaxed geometry, from the Alexandria database.

The structure in CIF format:
```
data_ZrTe2Pt
_cell_length_a 3.6297
_cell_length_b 4.3511
_cell_length_c 6.9093
_cell_angle_alpha 96.22
_cell_angle_beta 105.23
_cell_angle_gamma 90.00
_space_group_name_H-M_alt 'P 1'
_space_group_IT_number 1
loop_
_space_group_symop_operation_xyz
'x,y,z'
loop_
_atom_site_label
_atom_site_fract_x
_atom_site_fract_y
_atom_site_fract_z
Zr1 0.5000 0.0000 0.0000
Te1 0.8367 0.7827 0.6735
Te2 0.1633 0.2173 0.3265
Pt1 0.0000 0.5000 0.0000
```

Relative energy among the computed polymorphs ... 19 meV/atom
ΔE_f (raw) ... -0.67 eV/atom

The following is a meta-GGA SCAN calculation of GaBMo2P at its PBEsol-relaxed geometry, from the Alexandria database.

The structure in CIF format:
```
data_GaBMo2P
_cell_length_a 4.1407
_cell_length_b 4.6425
_cell_length_c 4.6425
_cell_angle_alpha 90.00
_cell_angle_beta 90.00
_cell_angle_gamma 90.00
_space_group_name_H-M_alt 'P 1'
_space_group_IT_number 1
loop_
_space_group_symop_operation_xyz
'x,y,z'
loop_
_atom_site_label
_atom_site_fract_x
_atom_site_fract_y
_atom_site_fract_z
P1 0.5000 0.0000 0.0000
Ga1 0.0000 0.0000 0.0000
Mo1 0.0000 0.0000 0.5000
Mo2 0.0000 0.5000 0.0000
B1 0.5000 0.5000 0.5000
```

Calculated formation energy ... 2353.6 meV/atom

The following is a meta-GGA SCAN calculation of Ag5Hg at its PBEsol-relaxed geometry, from the Alexandria database.

The structure in CIF format:
```
data_Ag5Hg
_cell_length_a 4.6506
_cell_length_b 5.3632
_cell_length_c 5.3632
_cell_angle_alpha 120.00
_cell_angle_beta 90.00
_cell_angle_gamma 90.00
_space_group_name_H-M_alt 'P 1'
_space_group_IT_number 1
loop_
_space_group_symop_operation_xyz
'x,y,z'
loop_
_atom_site_label
_atom_site_fract_x
_atom_site_fract_y
_atom_site_fract_z
Ag1 0.0000 0.6667 0.3333
Ag2 0.5000 0.5000 0.5000
Ag3 0.5000 0.5000 0.0000
Ag4 0.5000 0.0000 0.5000
Hg1 0.0000 0.0000 0.0000
Ag5 0.0000 0.3333 0.6667
```

Relative energy among the computed polymorphs ... 129 meV/atom
Calculated formation energy ... 150.5 meV/atom

The following is a meta-GGA SCAN calculation of KMn2In at its PBEsol-relaxed geometry, from the Alexandria database.

The structure in CIF format:
```
data_KMn2In
_cell_length_a 3.0416
_cell_length_b 5.2179
_cell_length_c 5.2179
_cell_angle_alpha 100.93
_cell_angle_beta 90.00
_cell_angle_gamma 90.00
_space_group_name_H-M_alt 'P 1'
_space_group_IT_number 1
loop_
_space_group_symop_operation_xyz
'x,y,z'
loop_
_atom_site_label
_atom_site_fract_x
_atom_site_fract_y
_atom_site_fract_z
Mn1 0.0000 0.5000 0.0000
In1 0.5000 0.0000 0.0000
K1 0.5000 0.5000 0.5000
Mn2 0.0000 0.0000 0.5000
```

Calculated formation energy ... 603.9 meV/atom

The following is a meta-GGA SCAN calculation of Mo2PF at its PBEsol-relaxed geometry, from the Alexandria database.

The structure in CIF format:
```
data_Mo2PF
_cell_length_a 5.1772
_cell_length_b 5.1772
_cell_length_c 5.1772
_cell_angle_alpha 113.94
_cell_angle_beta 107.28
_cell_angle_gamma 107.28
_space_group_name_H-M_alt 'P 1'
_space_group_IT_number 1
loop_
_space_group_symop_operation_xyz
'x,y,z'
loop_
_atom_site_label
_atom_site_fract_x
_atom_site_fract_y
_atom_site_fract_z
P1 0.0000 0.0000 0.0000
Mo1 0.9731 0.5981 0.1250
P2 0.5000 0.7500 0.2500
Mo2 0.0269 0.1519 0.6250
Mo3 0.5269 0.3750 0.4019
Mo4 0.4731 0.8750 0.8481
F1 0.5000 0.2500 0.7500
F2 0.0000 0.5000 0.5000
```

ΔE_f (raw) ... -0.09 eV/atom

The calculation returns the following E_tot values, one per record and in order: -23.90; -44.52; -18.44; -37.35; -18.95; -21.02 eV per atom.